Material: LiCe4Hg7
Method: DFT, PBE-GGA
State: optimized geometry

Results
As for the crystal system: monoclinic. For the total magnetization, the calculation gives 4.4 μB/cell. For the total energy, the calculation gives -0.094 hartree per atom. As for the density of states at the Fermi level: 2.68 states/eV/atom. The calculated volume comes out at 27.155 A^3/atom.

Cell: 5.3800 8.6107 8.2397 Å, 67.65 70.95 71.80°
Last column: nearest neighbours and their distance in Å.
Fractional coordinates of all 12 atoms:
Li: 0.0000 0.0000 0.0000  6 Hg 2.69-2.91
Hg: 0.6855 0.4618 0.1672  5 Ce 3.14-3.30, 3 Hg 3.20-3.49
Ce: 0.5681 0.2579 0.6058  8 Hg 3.14-3.40
Ce: 0.4319 0.7421 0.3942  8 Hg 3.14-3.40
Hg: 0.0611 0.6444 0.2334  1 Li 2.91, 3 Ce 3.17-3.21, 2 Hg 3.20
Hg: 0.8183 0.0042 0.3592  1 Li 2.81
Ce: 0.7403 0.7452 0.7742  8 Hg 3.12-3.35
Hg: 0.1817 0.9958 0.6408  1 Li 2.81
Hg: 0.9389 0.3556 0.7665  1 Li 2.91, 3 Ce 3.17-3.21, 2 Hg 3.20
Ce: 0.2597 0.2548 0.2258  8 Hg 3.12-3.35
Hg: 0.3145 0.5382 0.8328  5 Ce 3.14-3.30, 3 Hg 3.20-3.49
Hg: 0.5000 0.0000 0.0000  2 Li 2.69



Material: LaEuTm2
Method: DFT, PBE-GGA
State: optimized geometry

Results
As for the energy above the lowest structure with this stoichiometry: 0 meV per atom. As for the crystal system: tetragonal. For the total magnetization, the calculation gives 7.6 μB/cell. For the total energy, the calculation gives -0.219 hartree per atom. As for the density of states at the Fermi level: 1.59 states/eV/atom. The calculated volume comes out at 34.124 A^3/atom.

Cell: 3.6929 3.6929 10.0089 Å, 90.00 90.00 90.00°
Last column: nearest neighbours and their distance in Å.
Fractional coordinates of all 4 atoms:
Eu: 0.5000 0.5000 0.5000  8 Tm 3.68, 4 Eu 3.69
Tm: 0.0000 0.0000 0.7585  4 La 3.56, 4 Eu 3.68, 4 Tm 3.69
Tm: 0.0000 0.0000 0.2415  4 La 3.56, 4 Eu 3.68, 4 Tm 3.69
La: 0.5000 0.5000 0.0000  8 Tm 3.56, 4 La 3.69



Material: Cd7Hg2
Method: DFT, PBE-GGA
State: optimized geometry

Results
As for the energy above the lowest structure with this stoichiometry: 58 meV per atom. As for the crystal system: trigonal. For the total magnetization, the calculation gives 0.0 μB/cell. For the total energy, the calculation gives -0.026 hartree per atom. As for the density of states at the Fermi level: 0.34 states/eV/atom. The calculated volume comes out at 25.449 A^3/atom.

Cell: 6.0339 6.0339 14.9401 Å, 78.35 78.35 60.00°
Last column: nearest neighbours and their distance in Å.
Fractional coordinates of all 18 atoms:
Cd: 0.3823 0.8940 0.3415  7 Cd 2.91-3.09, 2 Hg 3.23
Cd: 0.1060 0.6177 0.6585  7 Cd 2.91-3.09, 2 Hg 3.23
Hg: 0.1405 0.1405 0.5786  6 Cd 3.23
Cd: 0.5000 0.0000 0.0000  8 Cd 3.02-3.05
Cd: 0.5000 0.5000 0.0000  8 Cd 3.02-3.05
Cd: 0.6177 0.6177 0.6585  7 Cd 2.91-3.09, 2 Hg 3.23
Hg: 0.0482 0.0482 0.8554  12 Cd 3.50-3.68
Cd: 0.8940 0.3823 0.3415  7 Cd 2.91-3.09, 2 Hg 3.23
Hg: 0.8595 0.8595 0.4214  6 Cd 3.23
Cd: 0.3907 0.3907 0.8280  6 Cd 3.04-3.05
Cd: 0.6177 0.1060 0.6585  7 Cd 2.91-3.09, 2 Hg 3.23
Cd: 0.2766 0.2766 0.1701  6 Cd 3.01-3.02
Cd: 0.6093 0.6093 0.1720  6 Cd 3.04-3.05
Hg: 0.9518 0.9518 0.1446  12 Cd 3.50-3.68
Cd: 0.0000 0.5000 0.0000  8 Cd 3.02-3.05
Cd: 0.7234 0.7234 0.8299  6 Cd 3.01-3.02
Cd: 0.5000 0.5000 0.5000  6 Cd 2.91
Cd: 0.3823 0.3823 0.3415  7 Cd 2.91-3.09, 2 Hg 3.23



Material: Ta3Br
Method: DFT, PBE-GGA
State: optimized geometry

Results
As for the energy above the lowest structure with this stoichiometry: 272 meV per atom. As for the crystal system: orthorhombic. For the total magnetization, the calculation gives 0.0 μB/cell. For the total energy, the calculation gives -0.319 hartree per atom. As for the density of states at the Fermi level: 0.85 states/eV/atom. The uncorrected formation energy comes out at 2.50 eV per formula unit. The calculated volume comes out at 18.570 A^3/atom.

Cell: 4.8641 4.8641 3.2249 Å, 90.00 90.00 103.22°
Last column: nearest neighbours and their distance in Å.
Fractional coordinates of all 4 atoms:
Ta: 0.0000 0.5000 0.5000  8 Ta 2.92-3.22, 4 Br 2.92
Ta: 0.5000 0.5000 0.0000  10 Ta 2.92-3.22, 2 Br 3.02
Br: 0.0000 0.0000 0.0000  10 Ta 2.92-3.02, 2 Br 3.22
Ta: 0.5000 0.0000 0.5000  4 Br 2.92, 8 Ta 2.92-3.22



Material: CoSn2Br2
Method: DFT, PBE-GGA
State: optimized geometry

Results
As for the energy above the lowest structure with this stoichiometry: 0 meV per atom. As for the crystal system: tetragonal. For the total magnetization, the calculation gives 3.2 μB/cell. For the total energy, the calculation gives -0.132 hartree per atom. As for the density of states at the Fermi level: 0.90 states/eV/atom. The uncorrected formation energy comes out at 0.53 eV per formula unit. The calculated volume comes out at 26.583 A^3/atom.

Cell: 6.6180 6.6180 6.0693 Å, 90.00 90.00 90.00°
Last column: nearest neighbours and their distance in Å.
Fractional coordinates of all 10 atoms:
Br: 0.1829 0.3171 0.0000  2 Co 2.42
Sn: 0.2823 0.7823 0.5000  2 Br 3.05, 4 Sn 3.34
Co: 0.5000 0.5000 0.0000  4 Br 2.42
Br: 0.6829 0.1829 0.0000  2 Co 2.42
Br: 0.8171 0.6829 0.0000  2 Co 2.42
Br: 0.3171 0.8171 0.0000  2 Co 2.42
Sn: 0.7177 0.2177 0.5000  2 Br 3.05, 4 Sn 3.34
Sn: 0.7823 0.7177 0.5000  2 Br 3.05, 4 Sn 3.34
Co: 0.0000 0.0000 0.0000  4 Br 2.42
Sn: 0.2177 0.2823 0.5000  2 Br 3.05, 4 Sn 3.34



Material: KRbTlAg
Method: DFT, PBE-GGA
State: optimized geometry

Results
As for the energy above the lowest structure with this stoichiometry: 0 meV per atom. As for the crystal system: monoclinic. For the total magnetization, the calculation gives 0.0 μB/cell. For the total energy, the calculation gives -0.067 hartree per atom. As for the density of states at the Fermi level: 0.68 states/eV/atom. The calculated volume comes out at 45.443 A^3/atom.

Cell: 5.0943 5.0943 8.6060 Å, 90.10 107.09 120.05°
Last column: nearest neighbours and their distance in Å.
Fractional coordinates of all 4 atoms:
Ag: 0.8325 0.2808 0.1133  3 Tl 2.94
K: 0.9935 0.8603 0.8538  3 Ag 3.61-3.62, 3 Tl 3.63
Tl: 0.5017 0.6155 0.1172  3 Ag 2.94
Rb: 0.3644 0.0478 0.4122  3 Tl 3.79, 3 Ag 3.81



Material: PmGa2Pd
Method: DFT, PBE-GGA
State: optimized geometry

Results
As for the energy above the lowest structure with this stoichiometry: 236 meV per atom. As for the crystal system: tetragonal. For the total magnetization, the calculation gives 0.0 μB/cell. For the total energy, the calculation gives -0.167 hartree per atom. As for the density of states at the Fermi level: 1.06 states/eV/atom. The calculated volume comes out at 20.216 A^3/atom.

Cell: 4.5689 4.2070 4.2070 Å, 90.00 90.00 90.00°
Last column: nearest neighbours and their distance in Å.
Fractional coordinates of all 4 atoms:
Ga: 0.0000 0.5000 0.0000  4 Ga 2.97, 4 Pm 3.11, 4 Pd 3.11
Ga: 0.0000 0.0000 0.5000  4 Ga 2.97, 4 Pm 3.11, 4 Pd 3.11
Pm: 0.5000 0.5000 0.5000  4 Pd 2.97, 8 Ga 3.11
Pd: 0.5000 0.0000 0.0000  4 Pm 2.97, 8 Ga 3.11



Material: ZrSi2Tc
Method: DFT, PBE-GGA
State: optimized geometry

Results
As for the energy above the lowest structure with this stoichiometry: 525 meV per atom. As for the crystal system: tetragonal. For the total magnetization, the calculation gives 0.0 μB/cell. For the total energy, the calculation gives -0.273 hartree per atom. As for the density of states at the Fermi level: 0.77 states/eV/atom. The uncorrected formation energy comes out at -0.01 eV per formula unit. The calculated volume comes out at 17.382 A^3/atom.

Cell: 3.9088 3.9088 9.5117 Å, 78.14 78.14 90.00°
Last column: nearest neighbours and their distance in Å.
Fractional coordinates of all 8 atoms:
Zr: 0.5000 0.5000 0.0000  4 Si 2.75, 4 Tc 2.76
Zr: 0.2500 0.7500 0.5000  4 Si 2.75, 4 Tc 2.76
Si: 0.8750 0.9295 0.7500  2 Si 2.48, 2 Tc 2.59, 2 Zr 2.75
Si: 0.6795 0.1250 0.2500  2 Si 2.48, 2 Tc 2.59, 2 Zr 2.75
Tc: 0.7500 0.2500 0.5000  4 Si 2.59, 4 Zr 2.76
Si: 0.3750 0.3205 0.7500  2 Si 2.48, 2 Tc 2.59, 2 Zr 2.75
Tc: 0.0000 0.0000 0.0000  4 Si 2.59, 4 Zr 2.76
Si: 0.0705 0.6250 0.2500  2 Si 2.48, 2 Tc 2.59, 2 Zr 2.75



Material: SeI2NCl
Method: DFT, PBE-GGA
State: optimized geometry

Results
As for the energy above the lowest structure with this stoichiometry: 361 meV per atom. As for the crystal system: tetragonal. For the total magnetization, the calculation gives 2.0 μB/cell. For the total energy, the calculation gives -0.077 hartree per atom. As for the density of states at the Fermi level: 0.87 states/eV/atom. The uncorrected formation energy comes out at 6.25 eV per formula unit. The calculated volume comes out at 36.027 A^3/atom.

Cell: 7.4271 7.4271 3.2655 Å, 90.00 90.00 90.00°
Last column: nearest neighbours and their distance in Å.
Fractional coordinates of all 5 atoms:
N: 0.0000 0.0000 0.5000  2 Cl 1.63
I: 0.0000 0.5000 0.0000  2 I 3.27
Cl: 0.0000 0.0000 0.0000  2 N 1.63
Se: 0.5000 0.5000 0.5000  2 Se 3.27
I: 0.5000 0.0000 0.0000  2 I 3.27



Material: AlZn6Ga12
Method: DFT, PBE-GGA
State: optimized geometry

Results
As for the energy above the lowest structure with this stoichiometry: 0 meV per atom. As for the crystal system: trigonal. For the total magnetization, the calculation gives 0.0 μB/cell. For the total energy, the calculation gives -0.091 hartree per atom. As for the density of states at the Fermi level: 0.24 states/eV/atom. The calculated volume comes out at 18.429 A^3/atom.

Cell: 7.1958 7.1958 7.1958 Å, 100.73 100.73 100.73°
Last column: nearest neighbours and their distance in Å.
Fractional coordinates of all 19 atoms:
Al: 0.0000 0.0000 0.0000  6 Ga 2.72
Zn: 0.7294 0.8217 0.5501  6 Ga 2.64-2.81, 2 Zn 2.65
Zn: 0.1783 0.4499 0.2706  6 Ga 2.64-2.81, 2 Zn 2.65
Ga: 0.6745 0.0106 0.1390  2 Zn 2.64-2.70, 1 Al 2.72, 5 Ga 2.75-2.90
Ga: 0.1390 0.6745 0.0106  2 Zn 2.64-2.70, 1 Al 2.72, 5 Ga 2.75-2.90
Ga: 0.6448 0.1738 0.5058  4 Zn 2.65-2.81, 5 Ga 2.75-2.92
Zn: 0.5501 0.7294 0.8217  6 Ga 2.64-2.81, 2 Zn 2.65
Ga: 0.1738 0.5058 0.6448  4 Zn 2.65-2.81, 5 Ga 2.75-2.92
Ga: 0.9894 0.8610 0.3255  2 Zn 2.64-2.70, 1 Al 2.72, 5 Ga 2.75-2.90
Ga: 0.3255 0.9894 0.8610  2 Zn 2.64-2.70, 1 Al 2.72, 5 Ga 2.75-2.90
Ga: 0.5058 0.6448 0.1738  4 Zn 2.65-2.81, 5 Ga 2.75-2.92
Ga: 0.8610 0.3255 0.9894  2 Zn 2.64-2.70, 1 Al 2.72, 5 Ga 2.75-2.90
Ga: 0.0106 0.1390 0.6745  2 Zn 2.64-2.70, 1 Al 2.72, 5 Ga 2.75-2.90
Zn: 0.2706 0.1783 0.4499  6 Ga 2.64-2.81, 2 Zn 2.65
Zn: 0.8217 0.5501 0.7294  6 Ga 2.64-2.81, 2 Zn 2.65
Ga: 0.3552 0.8262 0.4942  4 Zn 2.65-2.81, 5 Ga 2.75-2.92
Ga: 0.8262 0.4942 0.3552  4 Zn 2.65-2.81, 5 Ga 2.75-2.92
Zn: 0.4499 0.2706 0.1783  6 Ga 2.64-2.81, 2 Zn 2.65
Ga: 0.4942 0.3552 0.8262  4 Zn 2.65-2.81, 5 Ga 2.75-2.92



Material: RbZnHg2Te
Method: DFT, PBE-GGA
State: optimized geometry

Results
As for the crystal system: tetragonal. For the total magnetization, the calculation gives 0.0 μB/cell. For the total energy, the calculation gives -0.055 hartree per atom. As for the density of states at the Fermi level: 0.30 states/eV/atom. The uncorrected formation energy comes out at -1.44 eV per formula unit. The calculated volume comes out at 33.652 A^3/atom.

Cell: 5.4680 5.4680 5.6276 Å, 90.00 90.00 90.00°
Last column: nearest neighbours and their distance in Å.
Fractional coordinates of all 5 atoms:
Hg: 0.5000 0.0000 0.0000  2 Zn 2.73
Zn: 0.0000 0.0000 0.0000  4 Hg 2.73, 2 Te 2.81
Rb: 0.5000 0.5000 0.5000  4 Te 3.87, 8 Hg 3.92
Hg: 0.0000 0.5000 0.0000  2 Zn 2.73
Te: 0.0000 0.0000 0.5000  2 Zn 2.81



Number 5 is which compound?
CoSn2Br2